Material: U2PaRe
Method: DFT, PBE
State: relaxed

Lattice parameters (Å, degrees): 5.0939 5.0939 3.1039 90.00 90.00 90.00
Last column: nearest neighbours and their distance in Å.
Space group P4/mmm (No. 123)
Asymmetric unit:
U 0.0000 0.5000 0.0000 (multiplicity 2)  4 Re 2.98, 4 Pa 2.98, 2 U 3.10
Pa 0.0000 0.0000 0.5000 (multiplicity 1)  8 U 2.98, 2 Pa 3.10
Re 0.5000 0.5000 0.5000 (multiplicity 1)  8 U 2.98, 2 Re 3.10

Its energy above the lowest structure with this stoichiometry is 0.000 eV per atom. As for the total energy: -10.96 eV/atom. As for the energy relative to the elements: 16.6 kJ/mol of atoms. The value obtained for the density is 18.42 g/cm3.